(1)
The following is a PBE calculation of crystalline SrLiIn2 at its relaxed geometry, from Alexandria.

Cell lengths 4.912, 4.910, 4.713 Å; angles 90.00, 90.00, 90.00 degrees
Fractional coordinates of all 4 atoms:
In 0.000 0.000 0.000
In 0.500 0.500 0.000
Sr 0.000 0.500 0.500
Li 0.500 0.000 0.500

---

(2)
The following is a PBE calculation of crystalline SrLi6In2 at its relaxed geometry, from Alexandria.

Cell lengths 4.884, 7.715, 7.715 Å; angles 49.43, 71.55, 71.55 degrees
Site moments in Bohr magnetons follow the coordinates.
Fractional coordinates of all 9 atoms:
In 0.116 0.384 0.384  0.02
In 0.884 0.616 0.616  0.02
Li 0.705 0.063 0.527  0.01
Li 0.500 0.680 0.320  0.03
Li 0.295 0.937 0.473  0.01
Li 0.705 0.527 0.063  0.01
Li 0.295 0.473 0.937  0.01
Li 0.500 0.320 0.680  0.03
Sr 0.000 0.000 0.000  0.05

---

| no. | density (g/cm³) | formation enthalpy at 0 K (eV per formula unit) |
| --- | --- | --- |
| 1 | 4.7 | -0.958 |
| 2 | 2.9 | -1.298 |